The following is a DFT calculation (PBE) of an optimized crystal structure of CaLuRu4.

Output
The calculation puts the density at 9.71 g/cm3. The total DFT energy (no corrections) comes out at -7.39 eV per atom. The calculation puts the calculated formation energy at -0.121 eV per atom.

abc: 7.510 7.510 7.510
angles: 90.00 90.00 90.00
Space group F-43m (No. 216)
Asymmetric unit:
Ca: 0.000 0.000 0.000
Lu: 0.250 0.250 0.250
Ru: 0.125 0.125 0.625